Ba2Si3SnPt12 GGA-PBE relaxed; uncorrected formation energy = -390 meV per atom
1.0
4.1544 2.3986 6.4656
-4.1544 2.3986 6.4656
0.0000 -4.7971 6.4656
Ba Si Sn Pt
2 3 1 12
direct
0.1101 0.1101 0.1101
0.8899 0.8899 0.8899
0.0000 0.5000 0.5000
0.5000 0.0000 0.5000
0.5000 0.5000 0.0000
0.5000 0.5000 0.5000
0.1179 0.6216 0.6216
0.1543 0.1543 0.5932
0.1543 0.5932 0.1543
0.3784 0.3784 0.8821
0.3784 0.8821 0.3784
0.4068 0.8457 0.8457
0.5932 0.1543 0.1543
0.6216 0.1179 0.6216
0.6216 0.6216 0.1179
0.8457 0.4068 0.8457
0.8457 0.8457 0.4068
0.8821 0.3784 0.3784